Record 1
The following is a PBE calculation of K2TlPAu after structural relaxation, from Alexandria.

Cell: 6.3115 5.1454 6.3115 Å, 90.00 90.00 90.00°
Closest atoms and distances in Å follow each position.
Element x y z (fractional)
K  0.0000  0.0000  0.5000  2 P 3.16
K  0.5000  0.0000  0.0000  2 P 3.16
Au  0.5000  0.5000  0.5000  8 K 4.07, 4 Tl 4.46
P  0.0000  0.0000  0.0000  2 Tl 2.57
Tl  0.0000  0.5000  0.0000  2 P 2.57

Output
ΔH_f (0 K), meV per atom: -70
Uncorrected energy, eV per atom: -2.719

=====

Record 2
The following is a PBE calculation of BaSr3Hf after structural relaxation, from Alexandria.

Cell: 6.3912 6.3912 6.3912 Å, 90.00 90.00 90.00°
Closest atoms and distances in Å follow each position.
Element x y z (fractional)
Ba  0.5000  0.5000  0.5000  12 Sr 4.52
Sr  0.5000  0.0000  0.0000  2 Hf 3.20
Sr  0.0000  0.0000  0.5000  2 Hf 3.20
Sr  0.0000  0.5000  0.0000  2 Hf 3.20
Hf  0.0000  0.0000  0.0000  6 Sr 3.20

Output
ΔH_f (0 K), meV per atom: 679
Uncorrected energy, eV per atom: -2.706

=====

Record 3
The following is a PBE calculation of CeTmSc2 after structural relaxation, from Alexandria.

Cell: 4.5895 4.8516 4.8516 Å, 90.00 90.00 90.00°
Closest atoms and distances in Å follow each position.
Element x y z (fractional)
Ce  0.5000  0.5000  0.5000  8 Sc 3.34, 4 Tm 3.43
Sc  0.0000  0.5000  0.0000  4 Ce 3.34, 4 Tm 3.34, 4 Sc 3.43
Sc  0.0000  0.0000  0.5000  4 Ce 3.34, 4 Tm 3.34, 4 Sc 3.43
Tm  0.5000  0.0000  0.0000  8 Sc 3.34, 4 Ce 3.43

Output
ΔH_f (0 K), meV per atom: 73
Uncorrected energy, eV per atom: -5.694

=====

Record 4
The following is a PBE calculation of ZrNiSn after structural relaxation, from Alexandria.

Cell: 4.3548 4.3548 4.3548 Å, 60.00 60.00 60.00°
Closest atoms and distances in Å follow each position.
Element x y z (fractional)
Zr  0.0000  0.0000  0.0000  4 Ni 2.67
Sn  0.5000  0.5000  0.5000  4 Ni 2.67
Ni  0.2500  0.2500  0.2500  4 Sn 2.67, 4 Zr 2.67

Output
ΔH_f (0 K), meV per atom: -685
Uncorrected energy, eV per atom: -6.796

=====

Record 5
The following is a PBE calculation of LaPm12Y3 after structural relaxation, from Alexandria.

Cell: 5.1507 5.1507 20.5985 Å, 90.00 90.00 90.00°
Closest atoms and distances in Å follow each position.
Element x y z (fractional)
Pm  0.5000  0.5000  0.7477  8 Pm 3.62-3.65, 4 Y 3.64
Pm  0.5000  0.0000  0.6244  8 Pm 3.62-3.64, 4 Y 3.63
Pm  0.5000  0.5000  0.2523  8 Pm 3.62-3.65, 4 Y 3.64
Pm  0.0000  0.5000  0.6244  8 Pm 3.62-3.64, 4 Y 3.63
Pm  0.5000  0.0000  0.1271  2 Y 3.63, 8 Pm 3.64-3.67, 2 La 3.67
Pm  0.5000  0.5000  0.0000  4 La 3.64, 8 Pm 3.67
Pm  0.5000  0.0000  0.3756  8 Pm 3.62-3.64, 4 Y 3.63
Pm  0.0000  0.5000  0.1271  2 Y 3.63, 8 Pm 3.64-3.67, 2 La 3.67
Pm  0.0000  0.5000  0.3756  8 Pm 3.62-3.64, 4 Y 3.63
Pm  0.5000  0.5000  0.5000  8 Pm 3.63, 4 Y 3.64
Pm  0.5000  0.0000  0.8729  2 Y 3.63, 8 Pm 3.64-3.67, 2 La 3.67
Pm  0.0000  0.5000  0.8729  2 Y 3.63, 8 Pm 3.64-3.67, 2 La 3.67
Y  0.0000  0.0000  0.7488  12 Pm 3.63-3.64
Y  0.0000  0.0000  0.2512  12 Pm 3.63-3.64
Y  0.0000  0.0000  0.5000  12 Pm 3.63-3.64
La  0.0000  0.0000  0.0000  12 Pm 3.64-3.67

Output
ΔH_f (0 K), meV per atom: 16
Uncorrected energy, eV per atom: -5.067

=====

Record 6
The following is a PBE calculation of KEr2MnTe4 after structural relaxation, from Alexandria.

Cell: 4.3707 7.8327 15.4084 Å, 90.00 90.00 106.20°
Closest atoms and distances in Å follow each position.
Element x y z (fractional)
K  0.8832  0.7665  0.2500  6 Te 3.42-3.53
K  0.1168  0.2335  0.7500  6 Te 3.42-3.53
Er  0.3688  0.7377  0.5643  6 Te 3.06-3.11
Er  0.3688  0.7377  0.9357  6 Te 3.06-3.11
Er  0.6312  0.2623  0.4357  6 Te 3.06-3.11
Er  0.6312  0.2623  0.0643  6 Te 3.06-3.11
Te  0.0000  0.0000  0.5000  4 Er 3.11
Te  0.5584  0.1168  0.2500  2 Mn 2.69
Te  0.4416  0.8832  0.7500  2 Mn 2.69
Te  0.7327  0.4655  0.6098  1 Mn 2.67
Te  0.0000  0.0000  0.0000  4 Er 3.11
Te  0.2673  0.5345  0.3902  1 Mn 2.67
Te  0.2673  0.5345  0.1098  1 Mn 2.67
Te  0.7327  0.4655  0.8902  1 Mn 2.67
Mn  0.8368  0.6736  0.7500  4 Te 2.67-2.69
Mn  0.1632  0.3264  0.2500  4 Te 2.67-2.69

Output
Uncorrected energy, eV per atom: -5.034
Formation energy from raw total energies, eV/atom: -1.040

=====

Record 7
The following is a PBE calculation of Tl2RhAu after structural relaxation, from Alexandria.

Cell: 3.3594 3.3594 7.7870 Å, 90.00 90.00 90.00°
Closest atoms and distances in Å follow each position.
Element x y z (fractional)
Tl  0.0000  0.0000  0.9406  4 Rh 2.85, 1 Au 3.15
Tl  0.5000  0.5000  0.2855  4 Au 3.08, 4 Tl 3.36
Au  0.0000  0.0000  0.5363  4 Rh 2.85, 5 Tl 3.08-3.15
Rh  0.5000  0.5000  0.7375  4 Au 2.85, 4 Tl 2.85

Output
ΔH_f (0 K), meV per atom: 146
Uncorrected energy, eV per atom: -3.694

=====

Record 8
The following is a PBE calculation of Sc6TeO12 after structural relaxation, from Alexandria.

Cell: 6.2687 6.0859 9.2190 Å, 108.13 98.22 92.35°
Closest atoms and distances in Å follow each position.
Element x y z (fractional)
O  0.4201  0.0154  0.7050  2 Sc 1.87-1.95
O  0.6966  0.9240  0.9803  1 Te 1.91, 1 Sc 2.10
O  0.9169  0.2675  0.9351  1 Te 1.97, 1 Sc 2.13
O  0.0093  0.7856  0.3913  3 Sc 2.01-2.06
O  0.9982  0.7928  0.7849  1 Te 1.99, 2 Sc 2.12-2.13
O  0.0831  0.7325  0.0649  1 Te 1.97, 1 Sc 2.13
O  0.5799  0.9846  0.2950  2 Sc 1.87-1.95
O  0.3573  0.4825  0.8788  2 Sc 1.89-2.07
O  0.9907  0.2144  0.6087  3 Sc 2.01-2.06
O  0.3034  0.0760  0.0197  1 Te 1.91, 1 Sc 2.10
O  0.6427  0.5175  0.1212  2 Sc 1.89-2.07
O  0.0018  0.2072  0.2151  1 Te 1.99, 2 Sc 2.12-2.13
Sc  0.5276  0.2155  0.9158  3 O 1.95-2.10
Sc  0.4724  0.7845  0.0842  3 O 1.95-2.10
Sc  0.0556  0.4673  0.8139  2 O 1.89-2.01
Sc  0.9444  0.5327  0.1861  2 O 1.89-2.01
Sc  0.1294  0.9194  0.6219  3 O 1.87-2.06
Sc  0.8706  0.0806  0.3781  3 O 1.87-2.06
Te  0.0000  0.0000  0.0000  6 O 1.91-1.99

Output
Uncorrected energy, eV per atom: -8.092
Formation energy from raw total energies, eV/atom: -2.795

=====

Record 9
The following is a PBE calculation of Dy6Ho3Mg after structural relaxation, from Alexandria.

Cell: 4.9826 11.0622 11.1195 Å, 90.31 90.00 90.00°
Closest atoms and distances in Å follow each position.
Element x y z (fractional)
Ho  0.2500  0.3487  0.7967  8 Dy 3.49-3.57, 4 Ho 3.50-3.53
Ho  0.7500  0.2485  0.9971  10 Dy 3.49-3.53, 2 Ho 3.53
Ho  0.7500  0.6513  0.2033  8 Dy 3.49-3.57, 4 Ho 3.50-3.53
Ho  0.7500  0.4491  0.5998  8 Dy 3.49-3.54, 4 Ho 3.50-3.53
Ho  0.2500  0.7515  0.0029  10 Dy 3.49-3.53, 2 Ho 3.53
Ho  0.2500  0.5509  0.4002  8 Dy 3.49-3.54, 4 Ho 3.50-3.53
Mg  0.7500  0.0479  0.4020  10 Dy 3.44-3.56, 2 Mg 3.48
Mg  0.2500  0.9521  0.5980  10 Dy 3.44-3.56, 2 Mg 3.48
Dy  0.7500  0.3476  0.2996  6 Dy 3.50-3.52, 1 Mg 3.51, 5 Ho 3.52-3.53
Dy  0.2500  0.0486  0.8995  4 Ho 3.49-3.52, 7 Dy 3.49-3.55, 1 Mg 3.51
Dy  0.2500  0.4487  0.1022  5 Dy 3.47-3.56, 7 Ho 3.50-3.57
Dy  0.2500  0.6524  0.7004  6 Dy 3.50-3.52, 1 Mg 3.51, 5 Ho 3.52-3.53
Dy  0.7500  0.9514  0.1005  4 Ho 3.49-3.52, 7 Dy 3.49-3.55, 1 Mg 3.51
Dy  0.2500  0.1503  0.1975  8 Dy 3.47-3.52, 2 Ho 3.52, 2 Mg 3.56
Dy  0.2500  0.2469  0.4988  3 Mg 3.45-3.49, 5 Dy 3.49-3.52, 4 Ho 3.49-3.54
Dy  0.7500  0.7531  0.5012  3 Mg 3.45-3.49, 5 Dy 3.49-3.52, 4 Ho 3.49-3.54
Dy  0.7500  0.1487  0.6953  3 Mg 3.44-3.48, 5 Dy 3.49-3.55, 4 Ho 3.49-3.53
Dy  0.2500  0.8513  0.3047  3 Mg 3.44-3.48, 5 Dy 3.49-3.55, 4 Ho 3.49-3.53
Dy  0.7500  0.8497  0.8025  8 Dy 3.47-3.52, 2 Ho 3.52, 2 Mg 3.56
Dy  0.7500  0.5513  0.8978  5 Dy 3.47-3.56, 7 Ho 3.50-3.57

Output
ΔH_f (0 K), meV per atom: 19
Uncorrected energy, eV per atom: -4.275

=====

Record 10
The following is a PBE calculation of Mn2TlFe after structural relaxation, from Alexandria.

Cell: 3.1160 3.1167 5.9318 Å, 90.00 90.00 90.00°
Closest atoms and distances in Å follow each position.
Element x y z (fractional)
Tl  0.0000  0.0000  0.5035  4 Fe 2.83, 6 Mn 2.86-3.00, 4 Tl 3.12
Fe  0.5000  0.5000  0.8017  5 Mn 2.34-2.49
Mn  0.0000  0.0000  0.9982  4 Fe 2.49, 4 Mn 2.50
Mn  0.5000  0.5000  0.1965  1 Fe 2.34, 4 Mn 2.50

Output
ΔH_f (0 K), meV per atom: 458
Uncorrected energy, eV per atom: -6.835